Record 1
Entry from Alexandria via LeMat-Bulk: crystalline K4Pr3ScO8 at its relaxed geometry (PBE).

Summary:
* crystal system: trigonal
* ΔE_f (raw): -2576.3 meV/atom
* final energy: -6.622 eV/atom

```
data_K4Pr3ScO8
_cell_length_a 7.1538
_cell_length_b 7.1538
_cell_length_c 18.8617
_cell_angle_alpha 90.00
_cell_angle_beta 90.00
_cell_angle_gamma 120.00
_space_group_name_H-M_alt 'R -3 m'
_space_group_IT_number 166
_space_group_name_Hall '-R 3 2"'
loop_
_atom_site_label
_atom_site_type_symbol
_atom_site_fract_x
_atom_site_fract_y
_atom_site_fract_z
_atom_site_occupancy
K1 K 0.0000 0.0000 0.0000 1
K2 K 0.0000 0.5000 0.0000 1
Pr1 Pr 0.0000 0.5000 0.5000 1
Sc1 Sc 0.0000 0.0000 0.5000 1
O1 O 0.0000 0.0000 0.2318 1
O2 O 0.0224 0.5112 0.2287 1
```

=====

Record 2
Entry from Alexandria via LeMat-Bulk: crystalline Tb3DyPd at its relaxed geometry (PBE).

Summary:
* crystal system: monoclinic
* formation enthalpy at 0 K: -0.352 eV per atom
* energy relative to the lowest polymorph listed for this composition: 0.00 eV/f.u.
* final energy: -5.089 eV/atom

```
data_Tb3DyPd
_cell_length_a 12.2273
_cell_length_b 3.7215
_cell_length_c 13.8037
_cell_angle_alpha 90.00
_cell_angle_beta 115.31
_cell_angle_gamma 90.00
_space_group_name_H-M_alt 'C 1 m 1'
_space_group_IT_number 8
_space_group_name_Hall 'C -2y'
loop_
_atom_site_label
_atom_site_type_symbol
_atom_site_fract_x
_atom_site_fract_y
_atom_site_fract_z
_atom_site_occupancy
Tb1 Tb 0.0000 0.0000 0.0000 1
Tb2 Tb 0.0284 0.0000 0.3657 1
Tb3 Tb 0.1715 0.5000 0.2351 1
Tb4 Tb 0.1996 0.5000 0.6018 1
Tb5 Tb 0.3511 0.0000 0.4706 1
Tb6 Tb 0.4657 0.0000 0.7625 1
Dy1 Dy 0.2343 0.0000 0.8401 1
Dy2 Dy 0.3489 0.0000 0.1301 1
Pd1 Pd 0.0149 0.0000 0.6241 1
Pd2 Pd 0.1865 0.5000 0.9783 1
```

=====

Record 3
Entry from Alexandria via LeMat-Bulk: crystalline Ac2Tb2PmY6 at its relaxed geometry (PBE).

Summary:
* crystal system: orthorhombic
* formation enthalpy at 0 K: 0.134 eV per atom
* final energy: -5.412 eV/atom

```
data_Ac2Tb2PmY6
_cell_length_a 5.7237
_cell_length_b 16.6741
_cell_length_c 8.2077
_cell_angle_alpha 90.00
_cell_angle_beta 90.00
_cell_angle_gamma 90.00
_space_group_name_H-M_alt 'C m m m'
_space_group_IT_number 65
_space_group_name_Hall '-C 2 2'
loop_
_atom_site_label
_atom_site_type_symbol
_atom_site_fract_x
_atom_site_fract_y
_atom_site_fract_z
_atom_site_occupancy
Ac1 Ac 0.0000 0.1710 0.0000 1
Tb1 Tb 0.0000 0.1897 0.5000 1
Pm1 Pm 0.0000 0.5000 0.0000 1
Y1 Y 0.0000 0.0000 0.2913 1
Y2 Y 0.0000 0.3685 0.2916 1
```

=====

Record 4
Entry from Alexandria via LeMat-Bulk: crystalline PmInS2 at its relaxed geometry (PBE).

Summary:
* crystal system: trigonal
* ΔE_f (raw): -1352.7 meV/atom
* final energy: -5.289 eV/atom

```
data_PmInS2
_cell_length_a 4.1105
_cell_length_b 4.1105
_cell_length_c 22.8015
_cell_angle_alpha 90.00
_cell_angle_beta 90.00
_cell_angle_gamma 120.00
_space_group_name_H-M_alt 'R 3 m'
_space_group_IT_number 160
_space_group_name_Hall 'R 3 -2"'
loop_
_atom_site_label
_atom_site_type_symbol
_atom_site_fract_x
_atom_site_fract_y
_atom_site_fract_z
_atom_site_occupancy
Pm1 Pm 0.0000 0.0000 0.0000 1
In1 In 0.0000 0.0000 0.8279 1
S1 S 0.0000 0.0000 0.4042 1
S2 S 0.0000 0.0000 0.6017 1
```

=====

Record 5
Entry from Alexandria via LeMat-Bulk: crystalline Cs3Rb7Hg at its relaxed geometry (PBE).

Summary:
* crystal system: monoclinic
* formation enthalpy at 0 K: 0.008 eV per atom
* final energy: -0.868 eV/atom

```
data_Cs3Rb7Hg
_cell_length_a 16.3554
_cell_length_b 11.8917
_cell_length_c 12.5325
_cell_angle_alpha 90.00
_cell_angle_beta 122.25
_cell_angle_gamma 90.00
_space_group_name_H-M_alt 'C 1 m 1'
_space_group_IT_number 8
_space_group_name_Hall 'C -2y'
loop_
_atom_site_label
_atom_site_type_symbol
_atom_site_fract_x
_atom_site_fract_y
_atom_site_fract_z
_atom_site_occupancy
Cs1 Cs 0.0000 0.0000 0.0000 1
Cs2 Cs 0.0659 0.2716 0.3269 1
Rb1 Rb 0.1907 0.5000 0.6885 1
Rb2 Rb 0.2059 0.3133 0.0440 1
Rb3 Rb 0.3146 0.0000 0.8392 1
Rb4 Rb 0.3287 0.0000 0.3896 1
Rb5 Rb 0.4502 0.3016 0.6300 1
Hg1 Hg 0.0062 0.5000 0.7648 1
```

=====

Record 6
Entry from Alexandria via LeMat-Bulk: crystalline PaCuAu2 at its relaxed geometry (PBE).

Summary:
* crystal system: cubic
* formation enthalpy at 0 K: -0.219 eV per atom
* energy relative to the lowest polymorph listed for this composition: 0.37 eV/f.u.
* final energy: -5.255 eV/atom

```
data_PaCuAu2
_cell_length_a 6.8403
_cell_length_b 6.8403
_cell_length_c 6.8403
_cell_angle_alpha 90.00
_cell_angle_beta 90.00
_cell_angle_gamma 90.00
_space_group_name_H-M_alt 'F m -3 m'
_space_group_IT_number 225
_space_group_name_Hall '-F 4 2 3'
loop_
_atom_site_label
_atom_site_type_symbol
_atom_site_fract_x
_atom_site_fract_y
_atom_site_fract_z
_atom_site_occupancy
Pa1 Pa 0.0000 0.0000 0.0000 1
Cu1 Cu 0.0000 0.0000 0.5000 1
Au1 Au 0.2500 0.2500 0.2500 1
```